A plane-wave DFT calculation with GGA-PBE was carried out for a relaxed structure of Mg2GaCu.

```
Mg2GaCu
1.0
5.3031 0.0000 0.0000
0.0000 5.0897 -1.1942
0.0000 0.1668 5.2253
Mg Ga Cu
4 2 2
Cartesian
3.9774 5.0484 0.6558
1.3258 0.2081 3.3753
1.3258 3.3138 -0.6745
3.9774 1.9427 4.7055
1.3258 0.9603 0.7364
3.9774 4.2962 3.2947
2.6516 2.6282 2.0155
0.0000 2.6282 2.0155
```

## Properties
The calculation puts the volume at 142.1 Å³/cell. As for the symmetry: Cmcm, No. 63. For the energy relative to the elements, the calculation gives -138 meV/atom. The value obtained for the mass density is 4.25 g cm⁻³.